Entry A
PBE-GGA AcDy2Tm4, relaxed; volume = 32.6 Å³/atom; spin magnetization = 0.00 μB/f.u.
1.0
8.2630 1.4591 1.3385
0.7463 9.5650 -0.6837
-3.7330 -6.1992 5.7286
Tm Dy Ac
8 4 2
direct
0.4874 0.5770 0.0444
0.9673 0.9532 0.0261
0.5359 0.8226 0.6008
0.6884 0.5315 0.7428
0.3589 0.8601 0.9102
0.1129 0.6758 0.1609
0.4021 0.0991 0.4539
0.2124 0.1512 0.7572
0.8191 0.2482 0.8770
0.7765 0.0063 0.3311
0.6422 0.2841 0.1844
0.0672 0.4309 0.6244
0.9183 0.7279 0.4821
0.2611 0.3820 0.3049

Entry B
PBE-GGA AcDy2Tm4, relaxed; volume = 32.6 Å³/atom; spin magnetization = 0.00 μB/f.u.
1.0
-5.7357 2.6886 -5.8788
-3.8757 -5.8679 6.3577
2.0330 6.1224 2.9174
Tm Ac Dy
8 2 4
direct
0.7992 0.3326 0.5338
0.6563 0.9314 0.5369
0.9488 0.7742 0.2908
0.3629 0.0642 0.7852
0.3577 0.0599 0.2860
0.9412 0.7547 0.7846
0.2270 0.6093 0.0269
0.5419 0.4737 0.7939
0.2345 0.6128 0.5320
0.0828 0.1871 0.0207
0.0866 0.1976 0.5347
0.5501 0.4806 0.2913
0.7995 0.3398 0.0315
0.6613 0.9320 0.0516

Energy comparison, zero being the most stable, in meV/atom: entry A 0; entry B 43.